# K4Sm3AsO8

A relaxed structure of K4Sm3AsO8 (GGA-PBE, Alexandria).

Computed properties:
- Spin magnetization: 0.00 μB/atom
- SG: R-3m (166)
- Mass density: 5.00 g/cm³
- Uncorrected energy: -6.185 eV per atom
- Formation energy from raw total energies: -2.256 eV per atom

Cell: 7.0411 7.4692 7.0411 Å, 118.11 120.00 90.00°
With the nearest neighbours (Å) after each atom.
Fractional positions:
K (0.5000, 0.0000, 0.0000)  6 O 2.86
K (0.5000, 0.0000, 0.5000)  6 O 2.79-2.81
K (0.0000, 0.0000, 0.0000)  6 O 2.79-2.81
K (0.0000, 0.0000, 0.5000)  6 O 2.79-2.81
Sm (0.5000, 0.5000, 0.0000)  6 O 2.36-2.38
Sm (0.5000, 0.5000, 0.5000)  6 O 2.36-2.38
Sm (0.0000, 0.5000, 0.5000)  6 O 2.36-2.38
As (0.0000, 0.5000, 0.0000)  6 O 2.30
O (0.2247, 0.6891, 0.9643)  1 As 2.30, 2 Sm 2.38
O (0.2248, 0.6891, 0.4495)  1 As 2.30, 2 Sm 2.38
O (0.2699, 0.3097, 0.5399)  3 Sm 2.36
O (0.7395, 0.6891, 0.9643)  1 As 2.30, 2 Sm 2.38
O (0.2605, 0.3109, 0.0357)  1 As 2.30, 2 Sm 2.38
O (0.7301, 0.6903, 0.4601)  3 Sm 2.36
O (0.7752, 0.3109, 0.5505)  1 As 2.30, 2 Sm 2.38
O (0.7753, 0.3109, 0.0357)  1 As 2.30, 2 Sm 2.38